Here is an optimized crystal structure of TaBeOs2 from Alexandria via LeMat-Bulk. Energies are from PBE.

Results
The formation energy from the elements is -39 kJ/mol of formula units.

Cell and atoms, written as extended XYZ:
```
4
Lattice="2.814 0.000 0.000 0.000 3.755 0.000 -1.261 0.000 5.335" Properties=species:S:1:pos:R:3 pbc="T T T"
Ta 0.000 0.000 0.000
Be -0.630 0.000 2.668
Os 0.158 1.878 3.821
Os 1.395 1.878 1.515
```



Here is an optimized crystal structure of Sr3MnCl from Alexandria via LeMat-Bulk. Energies are from PBE.

Results
The total energy is -3.389 eV/atom.

Cell and atoms, written as extended XYZ:
```
5
Lattice="5.783 0.000 0.000 0.000 5.783 0.000 0.000 0.000 5.783" Properties=species:S:1:pos:R:3 pbc="T T T"
Sr 0.000 0.000 2.892
Sr 0.000 2.892 0.000
Sr 2.892 0.000 0.000
Mn 2.892 2.892 2.892
Cl 0.000 0.000 0.000
```



Here is an optimized crystal structure of USnPd from Alexandria via LeMat-Bulk. Energies are from PBE.

Results
The formation energy from the elements is -81 kJ/mol of formula units.

Cell and atoms, written as extended XYZ:
```
6
Lattice="5.081 0.000 0.000 -2.540 4.400 0.000 0.000 0.000 5.587" Properties=species:S:1:pos:R:3 pbc="T T T"
U 0.000 0.000 1.288
U 0.000 0.000 4.299
Sn 0.000 2.933 2.794
Sn 2.540 1.467 2.794
Pd 0.000 2.933 0.000
Pd 2.540 1.467 0.000
```